Entry 1:
First-principles (PBE) data for a geometry-optimized AcSm2HoSe6 structure, as listed in Alexandria via LeMat-Bulk.

As for the crystal system: trigonal. Its total moment is 0.000 Bohr magnetons per cell. For the uncorrected formation energy, the calculation gives -1870 meV per atom.

It has space group R3 (No. 146, hexagonal axes), with a = 7.4609 Å, b = 7.4609 Å, c = 19.7929 Å, α = 90.00°, β = 90.00° and γ = 120.00°. The inequivalent atoms are Ac at (0.0000, 0.0000, 0.0000), Sm at (0.0000, 0.0000, 0.2874), Sm at (0.0000, 0.0000, 0.7951), Ho at (0.0000, 0.0000, 0.4882), Se at (0.0273, 0.3531, 0.5564) and Se at (0.0298, 0.6353, 0.0573).

Entry 2:
First-principles (PBE) data for a geometry-optimized LuScAgOs structure, as listed in Alexandria via LeMat-Bulk.

As for the crystal system: cubic. Its total moment is 0.000 Bohr magnetons per cell. Its formation energy is -0.36 eV/atom.

It has space group F-43m (No. 216), with a = 6.736 Å, b = 6.736 Å, c = 6.736 Å, α = 90.00°, β = 90.00° and γ = 90.00°. The inequivalent atoms are Lu at (0.000, 0.000, 0.000), Sc at (0.000, 0.000, 0.500), Ag at (0.250, 0.250, 0.250) and Os at (0.250, 0.250, 0.750).

Entry 3:
First-principles (PBE) data for a geometry-optimized Na2IrOs structure, as listed in Alexandria via LeMat-Bulk.

As for the crystal system: tetragonal. Its total moment is 6.167 Bohr magnetons per cell. Its formation energy is 1.27 eV/atom.

It has space group I-42d (No. 122), with a = 8.209 Å, b = 8.209 Å, c = 4.867 Å, α = 90.00°, β = 90.00° and γ = 90.00°. The inequivalent atoms are Na at (0.234, 0.250, 0.125), Ir at (0.000, 0.000, 0.000) and Os at (0.000, 0.000, 0.500).

Entry 4:
First-principles (PBE) data for a geometry-optimized MgSn2Pd structure, as listed in Alexandria via LeMat-Bulk.

As for the crystal system: tetragonal. Its total moment is 0.000 Bohr magnetons per cell. Its formation energy is -0.23 eV/atom.

It has space group P4/mmm (No. 123), with a = 4.508 Å, b = 4.508 Å, c = 4.162 Å, α = 90.00°, β = 90.00° and γ = 90.00°. The inequivalent atoms are Mg at (0.000, 0.000, 0.000), Sn at (0.000, 0.500, 0.500) and Pd at (0.500, 0.500, 0.000).

Entry 5:
First-principles (PBE) data for a geometry-optimized LiAs2W structure, as listed in Alexandria via LeMat-Bulk.

As for the crystal system: tetragonal. Its total moment is 0.001 Bohr magnetons per cell. Its formation energy is 0.20 eV/atom.

It has space group I-4m2 (No. 119), with a = 3.708 Å, b = 3.708 Å, c = 9.169 Å, α = 90.00°, β = 90.00° and γ = 90.00°. The inequivalent atoms are Li at (0.000, 0.000, 0.000), As at (0.000, 0.000, 0.500), As at (0.000, 0.500, 0.250) and W at (0.000, 0.500, 0.750).

Entry 6:
First-principles (PBE) data for a geometry-optimized Cr2CuN structure, as listed in Alexandria via LeMat-Bulk.

As for the crystal system: tetragonal. Its total moment is 20.197 Bohr magnetons per cell. For the uncorrected formation energy, the calculation gives 252 meV per atom.

It has space group I-42d (No. 122), with a = 5.812 Å, b = 5.812 Å, c = 5.978 Å, α = 90.00°, β = 90.00° and γ = 90.00°. The inequivalent atoms are Cr at (0.157, 0.250, 0.125), Cu at (0.000, 0.000, 0.500) and N at (0.000, 0.000, 0.000).

Entry 7:
First-principles (PBE) data for a geometry-optimized Na3Pu2O7 structure, as listed in Alexandria via LeMat-Bulk.

As for the crystal system: orthorhombic. Its total moment is 10.000 Bohr magnetons per cell. For the uncorrected formation energy, the calculation gives -2261 meV per atom.

It has space group Cmmm (No. 65), with a = 4.303 Å, b = 20.505 Å, c = 4.237 Å, α = 90.00°, β = 90.00° and γ = 90.00°. The inequivalent atoms are Na at (0.000, 0.000, 0.000), Na at (0.000, 0.180, 0.000), Pu at (0.000, 0.398, 0.500), O at (0.000, 0.100, 0.500), O at (0.000, 0.304, 0.500), O at (0.000, 0.399, 0.000) and O at (0.000, 0.500, 0.500).

Entry 8:
First-principles (PBE) data for a geometry-optimized AlMo3 structure, as listed in Alexandria via LeMat-Bulk.

As for the crystal system: orthorhombic. Its total moment is 0.000 Bohr magnetons per cell. Its formation energy is 0.04 eV/atom.

It has space group Pmmn (No. 59, origin choice 2), with a = 4.610 Å, b = 5.392 Å, c = 5.046 Å, α = 90.00°, β = 90.00° and γ = 90.00°. The inequivalent atoms are Al at (0.250, 0.250, 0.161), Mo at (0.250, 0.013, 0.656) and Mo at (0.250, 0.750, 0.140).

Entry 9:
First-principles (PBE) data for a geometry-optimized ZrTaHg structure, as listed in Alexandria via LeMat-Bulk.

As for the crystal system: cubic. Its total moment is 0.000 Bohr magnetons per cell. Its formation energy is 0.76 eV/atom.

It has space group F-43m (No. 216), with a = 6.571 Å, b = 6.571 Å, c = 6.571 Å, α = 90.00°, β = 90.00° and γ = 90.00°. The inequivalent atoms are Zr at (0.000, 0.000, 0.000), Ta at (0.000, 0.000, 0.500) and Hg at (0.250, 0.250, 0.750).

Entry 10:
First-principles (PBE) data for a geometry-optimized Ho6GeSe5 structure, as listed in Alexandria via LeMat-Bulk.

As for the crystal system: monoclinic. Its total moment is 0.000 Bohr magnetons per cell. For the uncorrected formation energy, the calculation gives -1653 meV per atom.

It has space group C2/m (No. 12), with a = 7.058 Å, b = 12.206 Å, c = 7.078 Å, α = 90.00°, β = 109.29° and γ = 90.00°. The inequivalent atoms are Ho at (0.242, 0.000, 0.257), Ho at (0.242, 0.162, 0.742), Ge at (0.000, 0.000, 0.500), Se at (0.000, 0.169, 0.000), Se at (0.000, 0.334, 0.500) and Se at (0.000, 0.500, 0.000).

Entry 11:
First-principles (PBE) data for a geometry-optimized Pa3Si2S structure, as listed in Alexandria via LeMat-Bulk.

As for the crystal system: orthorhombic. Its total moment is 0.000 Bohr magnetons per cell. For the uncorrected formation energy, the calculation gives -819 meV per atom.

It has space group Immm (No. 71), with a = 4.045 Å, b = 5.691 Å, c = 12.014 Å, α = 90.00°, β = 90.00° and γ = 90.00°. The inequivalent atoms are Pa at (0.000, 0.000, 0.000), Pa at (0.000, 0.000, 0.336), Si at (0.000, 0.500, 0.332) and S at (0.000, 0.500, 0.000).

Entry 12:
First-principles (PBE) data for a geometry-optimized TlBPd3 structure, as listed in Alexandria via LeMat-Bulk.

As for the crystal system: cubic. Its total moment is 0.000 Bohr magnetons per cell. Its formation energy is -0.15 eV/atom.

It has space group Pm-3m (No. 221), with a = 4.270 Å, b = 4.270 Å, c = 4.270 Å, α = 90.00°, β = 90.00° and γ = 90.00°. The inequivalent atoms are Tl at (0.000, 0.000, 0.000), B at (0.500, 0.500, 0.500) and Pd at (0.000, 0.500, 0.500).